# 1
{
  "formula": "Nb6P2C",
  "functional": "PBE-GGA",
  "state": "relaxed",
  "formation_energy_ev_per_atom": -0.716,
  "sg": "No. 12",
  "e_above_lowest_polymorph_mev_per_atom": 0,
  "lattice_angstrom": [[3.352, 0.000, 0.000], [-1.676, 5.274, -0.138], [0.000, 0.045, 7.847]],
  "species": ["Nb", "Nb", "Nb", "Nb", "Nb", "Nb", "P", "P", "C"],
  "fractional_positions": [[0.452, 0.904, 0.774], [0.548, 0.096, 0.226], [0.853, 0.705, 0.066], [0.147, 0.295, 0.934], [0.133, 0.266, 0.551], [0.867, 0.734, 0.449], [0.763, 0.526, 0.748], [0.237, 0.474, 0.252], [0.500, 0.000, 0.500]]
}

---

# 2
{
  "formula": "PaTlBO5",
  "functional": "PBE-GGA",
  "state": "relaxed",
  "sg": "No. 15",
  "e_form_raw_ev_per_atom": -2.309,
  "lattice_angstrom": [[5.682, 0.121, -0.118], [-1.543, 5.469, -0.118], [-1.866, -2.521, 7.412]],
  "species": ["O", "O", "O", "O", "O", "O", "O", "O", "O", "O", "Tl", "Tl", "B", "B", "Pa", "Pa"],
  "fractional_positions": [[0.239, 0.417, 0.620], [0.417, 0.239, 0.120], [0.583, 0.761, 0.880], [0.914, 0.086, 0.750], [0.134, 0.704, 0.860], [0.704, 0.134, 0.360], [0.296, 0.866, 0.640], [0.761, 0.583, 0.380], [0.086, 0.914, 0.250], [0.866, 0.296, 0.140], [0.350, 0.650, 0.250], [0.650, 0.350, 0.750], [0.313, 0.687, 0.750], [0.687, 0.313, 0.250], [0.000, 0.000, 0.000], [0.000, 0.000, 0.500]]
}

---

# 3
{
  "formula": "Al2Ag2Ge",
  "functional": "PBE-GGA",
  "state": "relaxed",
  "formation_energy_ev_per_atom": 0.204,
  "sg": "No. 139",
  "e_above_lowest_polymorph_mev_per_atom": 105,
  "lattice_angstrom": [[3.903, 0.000, 0.000], [0.000, 3.903, 0.000], [1.951, 1.951, 6.316]],
  "species": ["Ag", "Ag", "Al", "Al", "Ge"],
  "fractional_positions": [[0.392, 0.392, 0.216], [0.608, 0.608, 0.784], [0.250, 0.750, 0.500], [0.750, 0.250, 0.500], [0.000, 0.000, 0.000]]
}

---

# 4
{
  "formula": "La3Pr12Tl",
  "functional": "PBE-GGA",
  "state": "relaxed",
  "formation_energy_ev_per_atom": -0.033,
  "sg": "No. 123",
  "lattice_angstrom": [[5.169, 0.000, 0.000], [0.000, 5.169, 0.000], [0.000, 0.000, 21.110]],
  "species": ["Pr", "Pr", "Pr", "Pr", "Pr", "Pr", "Pr", "Pr", "Pr", "Pr", "Pr", "Pr", "La", "La", "La", "Tl"],
  "fractional_positions": [[0.000, 0.500, 0.881], [0.000, 0.500, 0.373], [0.500, 0.000, 0.119], [0.500, 0.500, 0.244], [0.500, 0.500, 0.500], [0.000, 0.500, 0.119], [0.500, 0.500, 0.000], [0.500, 0.500, 0.756], [0.500, 0.000, 0.373], [0.500, 0.000, 0.881], [0.000, 0.500, 0.627], [0.500, 0.000, 0.627], [0.000, 0.000, 0.247], [0.000, 0.000, 0.753], [0.000, 0.000, 0.500], [0.000, 0.000, 0.000]]
}

---

# 5
{
  "formula": "Ba2Ni3Ge5",
  "functional": "PBE-GGA",
  "state": "relaxed",
  "formation_energy_ev_per_atom": -0.400,
  "sg": "No. 72",
  "lattice_angstrom": [[-2.763, -4.737, -2.853], [-1.425, -6.532, 5.527], [-8.511, -0.080, 1.676]],
  "species": ["Ge", "Ge", "Ge", "Ge", "Ge", "Ge", "Ge", "Ge", "Ge", "Ge", "Ni", "Ni", "Ni", "Ni", "Ni", "Ni", "Ba", "Ba", "Ba", "Ba"],
  "fractional_positions": [[0.890, 0.977, 0.243], [0.250, 0.500, 0.500], [0.610, 0.757, 0.023], [0.390, 0.243, 0.977], [0.495, 0.255, 0.255], [0.750, 0.500, 0.500], [0.005, 0.745, 0.745], [0.505, 0.745, 0.745], [0.110, 0.023, 0.757], [0.995, 0.255, 0.255], [0.374, 0.512, 0.739], [0.874, 0.739, 0.512], [0.626, 0.488, 0.261], [0.250, 0.000, 0.000], [0.126, 0.261, 0.488], [0.750, 0.000, 0.000], [0.870, 0.381, 0.879], [0.130, 0.619, 0.121], [0.630, 0.121, 0.619], [0.370, 0.879, 0.381]]
}

---

# 6
{
  "formula": "SiNiW",
  "functional": "PBE-GGA",
  "state": "relaxed",
  "sg": "No. 44",
  "e_form_raw_ev_per_atom": -0.113,
  "lattice_angstrom": [[5.041, 0.002, -0.003], [3.350, 3.767, 0.003], [-4.068, -2.168, 2.040]],
  "species": ["Ni", "W", "Si"],
  "fractional_positions": [[0.978, 0.978, 0.000], [0.671, 0.671, 0.000], [0.351, 0.351, 0.000]]
}

---

E_tot (eV/atom)
-9.66, -7.73, -3.36, -4.69, -4.83, -8.17
Volume (Å³ per atom)
15.4, 14.3, 19.2, 35.2, 19.9, 12.9